Material: MoPPtO2
Method: DFT, GGA+U
State: optimized geometry

```
data_MoPPtO2
_cell_length_a 3.858
_cell_length_b 3.858
_cell_length_c 5.364
_cell_angle_alpha 90.00
_cell_angle_beta 90.00
_cell_angle_gamma 90.00
_symmetry_space_group_name_H-M 'P 4/m m m'
_symmetry_Int_Tables_number 123
_symmetry_space_group_name_Hall '-P 4 2'
loop_
_atom_site_label
_atom_site_type_symbol
_atom_site_fract_x
_atom_site_fract_y
_atom_site_fract_z
_atom_site_occupancy
Mo1 Mo 0.000 0.000 0.000 1
P1 P 0.500 0.500 0.000 1
Pt1 Pt 0.500 0.500 0.500 1
O1 O 0.000 0.500 0.500 1
```

Values from the calculation:
Crystal system: tetragonal
Excess energy over the best structure of this formula in the dataset, kJ per mole of atoms: 71.4
M_tot, μB per cell: 4.67